Record 1
# Er4TcPd | Alexandria via LeMat-Bulk | PBE | optimized geometry
data_Er4TcPd
_space_group_name_H-M_alt 'P 1'
_space_group_IT_number 1
_space_group_name_Hall 'P 1'
_cell_length_a 7.5234
_cell_length_b 4.2883
_cell_length_c 18.1215
_cell_angle_alpha 90.00
_cell_angle_beta 90.00
_cell_angle_gamma 90.00
loop_
_atom_site_label
_atom_site_type_symbol
_atom_site_fract_x
_atom_site_fract_y
_atom_site_fract_z
Er1 Er 0.0063 0.2500 0.0723
Er2 Er 0.0727 0.2500 0.7811
Er3 Er 0.0969 0.2500 0.3531
Er4 Er 0.1490 0.2500 0.5441
Er5 Er 0.3510 0.7500 0.0441
Er6 Er 0.4031 0.7500 0.8531
Er7 Er 0.4273 0.7500 0.2811
Er8 Er 0.4937 0.7500 0.5723
Er9 Er 0.5063 0.2500 0.4277
Er10 Er 0.5727 0.2500 0.7189
Er11 Er 0.5969 0.2500 0.1469
Er12 Er 0.6490 0.2500 0.9559
Er13 Er 0.8510 0.7500 0.4559
Er14 Er 0.9031 0.7500 0.6469
Er15 Er 0.9273 0.7500 0.2189
Er16 Er 0.9937 0.7500 0.9277
Tc1 Tc 0.2502 0.2500 0.9377
Tc2 Tc 0.2498 0.7500 0.4377
Tc3 Tc 0.7502 0.2500 0.5623
Tc4 Tc 0.7498 0.7500 0.0623
Pd1 Pd 0.2272 0.2500 0.2020
Pd2 Pd 0.2728 0.7500 0.7020
Pd3 Pd 0.7272 0.2500 0.2980
Pd4 Pd 0.7728 0.7500 0.7980
# Energy relative to the elements (eV per atom): -0.407
# Energy relative to the lowest polymorph listed for this composition (meV/atom): 0

***

Record 2
# Er6Tc2Pd | Alexandria via LeMat-Bulk | PBE | optimized geometry
data_Er6Tc2Pd
_space_group_name_H-M_alt 'P 1'
_space_group_IT_number 1
_space_group_name_Hall 'P 1'
_cell_length_a 8.3098
_cell_length_b 8.3098
_cell_length_c 8.3098
_cell_angle_alpha 111.03
_cell_angle_beta 110.13
_cell_angle_gamma 107.28
loop_
_atom_site_label
_atom_site_type_symbol
_atom_site_fract_x
_atom_site_fract_y
_atom_site_fract_z
Er1 Er 0.0242 0.8343 0.1899
Er2 Er 0.2579 0.3231 0.5810
Er3 Er 0.2579 0.6769 0.9348
Er4 Er 0.2624 0.5653 0.3029
Er5 Er 0.2624 0.9596 0.6971
Er6 Er 0.3555 0.1657 0.1899
Er7 Er 0.6445 0.8343 0.8101
Er8 Er 0.7376 0.0404 0.3029
Er9 Er 0.7376 0.4347 0.6971
Er10 Er 0.7421 0.3231 0.0652
Er11 Er 0.7421 0.6769 0.4190
Er12 Er 0.9758 0.1657 0.8101
Tc1 Tc 0.0000 0.1730 0.1730
Tc2 Tc 0.0000 0.8270 0.8270
Tc3 Tc 0.3834 0.3834 0.0000
Tc4 Tc 0.6166 0.6166 0.0000
Pd1 Pd 0.0000 0.5000 0.5000
Pd2 Pd 0.5000 0.0000 0.5000
# Energy relative to the elements (eV per atom): -0.262

***

Record 3
# Er4TcPd | Alexandria via LeMat-Bulk | PBE | optimized geometry
data_Er4TcPd
_space_group_name_H-M_alt 'P 1'
_space_group_IT_number 1
_space_group_name_Hall 'P 1'
_cell_length_a 7.6735
_cell_length_b 7.6735
_cell_length_c 7.6735
_cell_angle_alpha 107.25
_cell_angle_beta 107.25
_cell_angle_gamma 114.02
loop_
_atom_site_label
_atom_site_type_symbol
_atom_site_fract_x
_atom_site_fract_y
_atom_site_fract_z
Er1 Er 0.1972 0.0000 0.1972
Er2 Er 0.2281 0.5238 0.2958
Er3 Er 0.2281 0.9323 0.7042
Er4 Er 0.2738 0.4781 0.7958
Er5 Er 0.6823 0.4781 0.2042
Er6 Er 0.7500 0.0528 0.3028
Er7 Er 0.7500 0.4472 0.6972
Er8 Er 0.8028 0.0000 0.8028
Tc1 Tc 0.2371 0.2371 0.0000
Tc2 Tc 0.9871 0.4871 0.5000
Pd1 Pd 0.4862 0.9862 0.5000
Pd2 Pd 0.7362 0.7362 0.0000
# Energy relative to the elements (eV per atom): -0.179
# Energy relative to the lowest polymorph listed for this composition (meV/atom): 228

***

Record 4
# ErTiTcPd | Alexandria via LeMat-Bulk | PBE | optimized geometry
data_ErTiTcPd
_space_group_name_H-M_alt 'P 1'
_space_group_IT_number 1
_space_group_name_Hall 'P 1'
_cell_length_a 4.6307
_cell_length_b 4.6307
_cell_length_c 4.6307
_cell_angle_alpha 60.00
_cell_angle_beta 60.00
_cell_angle_gamma 60.00
loop_
_atom_site_label
_atom_site_type_symbol
_atom_site_fract_x
_atom_site_fract_y
_atom_site_fract_z
Er1 Er 0.0000 0.0000 0.0000
Ti1 Ti 0.5000 0.5000 0.5000
Tc1 Tc 0.2500 0.2500 0.2500
Pd1 Pd 0.7500 0.7500 0.7500
# Energy relative to the elements (eV per atom): -0.427

***

Record 5
# ErZrTcPd | Alexandria via LeMat-Bulk | PBE | optimized geometry
data_ErZrTcPd
_space_group_name_H-M_alt 'P 1'
_space_group_IT_number 1
_space_group_name_Hall 'P 1'
_cell_length_a 4.7632
_cell_length_b 4.7632
_cell_length_c 4.7632
_cell_angle_alpha 60.00
_cell_angle_beta 60.00
_cell_angle_gamma 60.00
loop_
_atom_site_label
_atom_site_type_symbol
_atom_site_fract_x
_atom_site_fract_y
_atom_site_fract_z
Er1 Er 0.0000 0.0000 0.0000
Zr1 Zr 0.5000 0.5000 0.5000
Tc1 Tc 0.2500 0.2500 0.2500
Pd1 Pd 0.7500 0.7500 0.7500
# Energy relative to the elements (eV per atom): -0.487

***

Record 6
# Er2TePd | Alexandria via LeMat-Bulk | PBE | optimized geometry
data_Er2TePd
_space_group_name_H-M_alt 'P 1'
_space_group_IT_number 1
_space_group_name_Hall 'P 1'
_cell_length_a 11.6808
_cell_length_b 11.6808
_cell_length_c 4.4557
_cell_angle_alpha 90.00
_cell_angle_beta 90.00
_cell_angle_gamma 160.46
loop_
_atom_site_label
_atom_site_type_symbol
_atom_site_fract_x
_atom_site_fract_y
_atom_site_fract_z
Er1 Er 0.0581 0.9419 0.7500
Er2 Er 0.3366 0.6634 0.7500
Er3 Er 0.6634 0.3366 0.2500
Er4 Er 0.9419 0.0581 0.2500
Te1 Te 0.1958 0.8042 0.7500
Te2 Te 0.8042 0.1958 0.2500
Pd1 Pd 0.4595 0.5405 0.7500
Pd2 Pd 0.5405 0.4595 0.2500
# Energy relative to the lowest polymorph listed for this composition (meV/atom): 0
# Energy relative to the elements, uncorrected (eV/atom): -1.070

***

Record 7
# Er2TePd8 | Alexandria via LeMat-Bulk | PBE | optimized geometry
data_Er2TePd8
_space_group_name_H-M_alt 'P 1'
_space_group_IT_number 1
_space_group_name_Hall 'P 1'
_cell_length_a 8.1183
_cell_length_b 8.1183
_cell_length_c 5.9042
_cell_angle_alpha 111.27
_cell_angle_beta 111.27
_cell_angle_gamma 34.12
loop_
_atom_site_label
_atom_site_type_symbol
_atom_site_fract_x
_atom_site_fract_y
_atom_site_fract_z
Er1 Er 0.1870 0.1870 0.1869
Er2 Er 0.8131 0.8131 0.8131
Te1 Te 0.5000 0.5000 0.5000
Pd1 Pd 0.0000 0.0000 0.2522
Pd2 Pd 0.0000 0.0000 0.7478
Pd3 Pd 0.1859 0.1859 0.6860
Pd4 Pd 0.3585 0.3585 0.0981
Pd5 Pd 0.3582 0.3582 0.6185
Pd6 Pd 0.6418 0.6418 0.3815
Pd7 Pd 0.6415 0.6415 0.9019
Pd8 Pd 0.8141 0.8141 0.3140
# Energy relative to the elements, uncorrected (eV/atom): -0.649

***

Record 8
# ErTePd2 | Alexandria via LeMat-Bulk | PBE | optimized geometry
data_ErTePd2
_space_group_name_H-M_alt 'P 1'
_space_group_IT_number 1
_space_group_name_Hall 'P 1'
_cell_length_a 4.8486
_cell_length_b 4.8486
_cell_length_c 4.8486
_cell_angle_alpha 60.00
_cell_angle_beta 60.00
_cell_angle_gamma 60.00
loop_
_atom_site_label
_atom_site_type_symbol
_atom_site_fract_x
_atom_site_fract_y
_atom_site_fract_z
Er1 Er 0.0000 0.0000 0.0000
Te1 Te 0.5000 0.5000 0.5000
Pd1 Pd 0.2500 0.2500 0.2500
Pd2 Pd 0.7500 0.7500 0.7500
# Energy relative to the lowest polymorph listed for this composition (meV/atom): 28
# Energy relative to the elements, uncorrected (eV/atom): -0.728

***

Record 9
# Er2TePd9 | Alexandria via LeMat-Bulk | PBE | optimized geometry
data_Er2TePd9
_space_group_name_H-M_alt 'P 1'
_space_group_IT_number 1
_space_group_name_Hall 'P 1'
_cell_length_a 4.0932
_cell_length_b 4.0932
_cell_length_c 12.3110
_cell_angle_alpha 90.00
_cell_angle_beta 90.00
_cell_angle_gamma 90.00
loop_
_atom_site_label
_atom_site_type_symbol
_atom_site_fract_x
_atom_site_fract_y
_atom_site_fract_z
Er1 Er 0.0000 0.0000 0.1642
Er2 Er 0.0000 0.0000 0.8358
Te1 Te 0.0000 0.0000 0.5000
Pd1 Pd 0.0000 0.5000 0.0000
Pd2 Pd 0.0000 0.5000 0.3360
Pd3 Pd 0.0000 0.5000 0.6640
Pd4 Pd 0.5000 0.0000 0.0000
Pd5 Pd 0.5000 0.0000 0.3360
Pd6 Pd 0.5000 0.0000 0.6640
Pd7 Pd 0.5000 0.5000 0.1701
Pd8 Pd 0.5000 0.5000 0.5000
Pd9 Pd 0.5000 0.5000 0.8299
# Energy relative to the elements, uncorrected (eV/atom): -0.664

***

Record 10
# Er7Te2Pd2 | Alexandria via LeMat-Bulk | PBE | optimized geometry
data_Er7Te2Pd2
_space_group_name_H-M_alt 'P 1'
_space_group_IT_number 1
_space_group_name_Hall 'P 1'
_cell_length_a 9.3626
_cell_length_b 9.3626
_cell_length_c 9.3626
_cell_angle_alpha 155.75
_cell_angle_beta 67.28
_cell_angle_gamma 118.32
loop_
_atom_site_label
_atom_site_type_symbol
_atom_site_fract_x
_atom_site_fract_y
_atom_site_fract_z
Er1 Er 0.0000 0.0000 0.0000
Er2 Er 0.0576 0.3746 0.6829
Er3 Er 0.0903 0.7336 0.3566
Er4 Er 0.3770 0.7336 0.6434
Er5 Er 0.4533 0.5831 0.8702
Er6 Er 0.6917 0.3746 0.3171
Er7 Er 0.7130 0.5831 0.1298
Te1 Te 0.3377 0.3377 0.0000
Te2 Te 0.7351 0.2351 0.5000
Pd1 Pd 0.3063 0.0697 0.2365
Pd2 Pd 0.8332 0.0697 0.7635
# Energy relative to the lowest polymorph listed for this composition (meV/atom): 0
# Energy relative to the elements, uncorrected (eV/atom): -0.846

***

Record 11
# Er2TePd | Alexandria via LeMat-Bulk | PBE | optimized geometry
data_Er2TePd
_space_group_name_H-M_alt 'P 1'
_space_group_IT_number 1
_space_group_name_Hall 'P 1'
_cell_length_a 3.7013
_cell_length_b 3.7013
_cell_length_c 7.0067
_cell_angle_alpha 90.00
_cell_angle_beta 90.00
_cell_angle_gamma 90.00
loop_
_atom_site_label
_atom_site_type_symbol
_atom_site_fract_x
_atom_site_fract_y
_atom_site_fract_z
Er1 Er 0.0000 0.0000 0.2308
Er2 Er 0.0000 0.0000 0.7692
Te1 Te 0.5000 0.5000 0.5000
Pd1 Pd 0.5000 0.5000 0.0000
# Energy relative to the lowest polymorph listed for this composition (meV/atom): 164
# Energy relative to the elements, uncorrected (eV/atom): -0.906

***

Number 1: VASP energy -145.01 eV/cell. Number 2: VASP energy -111.32 eV/cell. Number 3: VASP energy -69.77 eV/cell. Number 4: VASP energy -29.72 eV/cell. Number 5: VASP energy -30.62 eV/cell. Number 6: VASP energy -43.48 eV/cell. Number 7: VASP energy -60.95 eV/cell. Number 8: VASP energy -21.00 eV/cell. Number 9: VASP energy -66.97 eV/cell. Number 10: VASP energy -57.92 eV/cell. Number 11: VASP energy -21.09 eV/cell.